Record 1
Ni4W3 after structural relaxation. Source: Alexandria via LeMat-Bulk, functional PBE.

a b c (Å): 9.6224 9.6224 9.6224
angles (deg): 161.23 161.23 26.66
Atoms (fractional coordinates):
Ni (0.8636, 0.8636, 0.0000)
Ni (0.5704, 0.5704, 0.0000)
Ni (0.4296, 0.4296, 0.0000)
Ni (0.1364, 0.1364, 0.0000)
W (0.0000, 0.0000, 0.0000)
W (0.7082, 0.7082, 0.0000)
W (0.2918, 0.2918, 0.0000)

Calculated values
Total moment, μB/f.u.: 0.00
E, eV per atom: -8.812
Energy of formation, eV per atom: 0.043

Record 2
NiW4 after structural relaxation. Source: Alexandria via LeMat-Bulk, functional PBE.

a b c (Å): 4.4362 4.4362 4.4362
angles (deg): 90.00 90.00 90.00
Atoms (fractional coordinates):
Ni (0.5000, 0.5000, 0.5000)
W (0.0000, 0.0000, 0.0000)
W (0.5000, 0.0000, 0.5000)
W (0.0000, 0.5000, 0.5000)
W (0.5000, 0.5000, 0.0000)

Calculated values
Total moment, μB/f.u.: 0.00
E, eV per atom: -9.903
Energy of formation, eV per atom: 1.616

Number 1: excess energy over the best structure of this formula in the dataset 0.0000 eV/atom. Number 2: excess energy over the best structure of this formula in the dataset 1.4150 eV/atom.